# 1
Here is a relaxed CaIn crystal from Alexandria via LeMat-Bulk. Energies are from GGA-PBE.

abc: 12.039 12.039 3.684
angles: 90.00 90.00 90.00
Positions (direct):
Ca (0.159, 0.371, 0.500)
Ca (0.659, 0.871, 0.000)
Ca (0.629, 0.159, 0.500)
Ca (0.841, 0.629, 0.500)
Ca (0.341, 0.129, 0.000)
Ca (0.871, 0.341, 0.000)
Ca (0.129, 0.659, 0.000)
Ca (0.371, 0.841, 0.500)
In (0.341, 0.571, 0.500)
In (0.159, 0.929, 0.000)
In (0.659, 0.429, 0.500)
In (0.929, 0.841, 0.000)
In (0.429, 0.341, 0.500)
In (0.571, 0.659, 0.500)
In (0.841, 0.071, 0.000)
In (0.071, 0.159, 0.000)

Values from the calculation:
D(E_F): 15.0 states/eV per cell
space-group type: I4/m (87)
ρ: 3854 kg/m3
DFT formation energy: -0.160 eV/atom

***

# 2
Here is a relaxed Ho4BiTe2 crystal from Alexandria via LeMat-Bulk. Energies are from GGA-PBE.

abc: 4.202 7.191 14.698
angles: 90.00 90.00 106.99
Positions (direct):
Ho (0.500, 0.000, 0.000)
Ho (0.920, 0.839, 0.750)
Ho (0.080, 0.161, 0.250)
Ho (0.785, 0.569, 0.132)
Ho (0.785, 0.569, 0.368)
Ho (0.215, 0.431, 0.632)
Ho (0.500, 0.000, 0.500)
Ho (0.215, 0.431, 0.868)
Te (0.144, 0.287, 0.441)
Te (0.856, 0.713, 0.941)
Te (0.144, 0.287, 0.059)
Te (0.856, 0.713, 0.559)
Bi (0.411, 0.823, 0.250)
Bi (0.589, 0.177, 0.750)

Values from the calculation:
D(E_F): 10.1 states/eV per cell
space-group type: Cmcm (63)
ρ: 8788 kg/m3
formation energy (no corrections): -0.883 eV per atom
offset from the most stable computed form: 0.00 eV/f.u.

***

# 3
Here is a relaxed Sc4AlTc crystal from Alexandria via LeMat-Bulk. Energies are from GGA-PBE.

abc: 3.317 3.317 11.264
angles: 90.00 90.00 90.00
Positions (direct):
Al (0.500, 0.500, 0.500)
Sc (0.000, 0.000, 0.656)
Sc (0.000, 0.000, 0.344)
Sc (0.500, 0.500, 0.131)
Sc (0.500, 0.500, 0.869)
Tc (0.000, 0.000, 0.000)

Values from the calculation:
D(E_F): 5.4 states/eV per cell
space-group type: P4/mmm (123)
ρ: 4085 kg/m3
offset from the most stable computed form: 0.00 eV/f.u.
DFT formation energy: -0.235 eV/atom

***

# 4
Here is a relaxed MgTl2Tc crystal from Alexandria via LeMat-Bulk. Energies are from GGA-PBE.

abc: 7.145 7.145 4.706
angles: 70.81 70.81 24.55
Positions (direct):
Tl (0.739, 0.739, 0.761)
Tl (0.941, 0.941, 0.058)
Mg (0.570, 0.570, 0.430)
Tc (0.250, 0.250, 0.251)

Values from the calculation:
D(E_F): 3.4 states/eV per cell
space-group type: Imm2 (44)
ρ: 9381 kg/m3
offset from the most stable computed form: 0.00 eV/f.u.
DFT formation energy: 0.395 eV/atom

***

# 5
Here is a relaxed MgPb2Br crystal from Alexandria via LeMat-Bulk. Energies are from GGA-PBE.

abc: 5.957 4.474 4.474
angles: 90.00 90.00 90.00
Positions (direct):
Pb (0.000, 0.000, 0.000)
Pb (0.000, 0.500, 0.500)
Mg (0.500, 0.000, 0.500)
Br (0.500, 0.500, 0.000)

Values from the calculation:
D(E_F): 1.7 states/eV per cell
space-group type: P4/mmm (123)
ρ: 7221 kg/m3
formation energy (no corrections): -0.078 eV per atom
offset from the most stable computed form: 1.07 eV/f.u.

***

# 6
Here is a relaxed Ba3CdTc2O9 crystal from Alexandria via LeMat-Bulk. Energies are from GGA-PBE.

abc: 5.859 5.859 7.232
angles: 90.00 90.00 120.00
Positions (direct):
Tc (0.333, 0.667, 0.153)
Tc (0.667, 0.333, 0.847)
O (0.822, 0.643, 0.689)
O (0.643, 0.822, 0.311)
O (0.000, 0.500, 0.000)
O (0.500, 0.000, 0.000)
O (0.178, 0.822, 0.311)
O (0.500, 0.500, 0.000)
O (0.357, 0.178, 0.689)
O (0.178, 0.357, 0.311)
O (0.822, 0.178, 0.689)
Ba (0.333, 0.667, 0.656)
Ba (0.000, 0.000, 0.000)
Ba (0.667, 0.333, 0.344)
Cd (0.000, 0.000, 0.500)

Values from the calculation:
D(E_F): 3.8 states/eV per cell
space-group type: P-3m1 (164)
ρ: 6676 kg/m3
formation energy (no corrections): -1.987 eV per atom

***

# 7
Here is a relaxed Nd3MgRh crystal from Alexandria via LeMat-Bulk. Energies are from GGA-PBE.

abc: 6.824 10.097 9.648
angles: 121.38 90.00 90.00
Positions (direct):
Rh (0.249, 0.500, 0.000)
Rh (0.251, 0.000, 0.000)
Rh (0.749, 0.000, 0.000)
Rh (0.751, 0.500, 0.000)
Nd (0.500, 0.416, 0.720)
Nd (0.000, 0.703, 0.908)
Nd (0.500, 0.797, 0.092)
Nd (0.500, 0.584, 0.280)
Nd (0.500, 0.197, 0.282)
Nd (0.500, 0.203, 0.908)
Nd (0.000, 0.697, 0.282)
Nd (0.500, 0.803, 0.718)
Nd (0.000, 0.303, 0.718)
Nd (0.000, 0.084, 0.280)
Nd (0.000, 0.916, 0.720)
Nd (0.000, 0.297, 0.092)
Mg (0.704, 0.000, 0.500)
Mg (0.296, 0.000, 0.500)
Mg (0.204, 0.500, 0.500)
Mg (0.796, 0.500, 0.500)

Values from the calculation:
D(E_F): 20.5 states/eV per cell
space-group type: C2/m (12)
ρ: 6553 kg/m3
offset from the most stable computed form: 0.00 eV/f.u.
DFT formation energy: -0.310 eV/atom

***

# 8
Here is a relaxed TbPr6Nd2Th crystal from Alexandria via LeMat-Bulk. Energies are from GGA-PBE.

abc: 10.106 8.940 8.940
angles: 116.93 95.22 95.22
Positions (direct):
Pr (0.380, 0.505, 0.301)
Pr (0.120, 0.699, 0.495)
Pr (0.555, 0.747, 0.110)
Pr (0.811, 0.421, 0.987)
Pr (0.055, 0.110, 0.747)
Pr (0.620, 0.495, 0.699)
Pr (0.689, 0.013, 0.579)
Pr (0.311, 0.987, 0.421)
Pr (0.880, 0.301, 0.505)
Pr (0.445, 0.253, 0.890)
Pr (0.189, 0.579, 0.013)
Pr (0.945, 0.890, 0.253)
Nd (0.954, 0.717, 0.807)
Nd (0.454, 0.807, 0.717)
Nd (0.046, 0.283, 0.193)
Nd (0.546, 0.193, 0.283)
Th (0.750, 0.019, 0.981)
Th (0.250, 0.981, 0.019)
Tb (0.750, 0.594, 0.406)
Tb (0.250, 0.406, 0.594)

Values from the calculation:
D(E_F): 29.2 states/eV per cell
space-group type: C2/c (15)
ρ: 7141 kg/m3
DFT formation energy: 0.141 eV/atom